# SrCdC3 | Alexandria via LeMat-Bulk | GGA-PBE | optimized geometry
# Formation enthalpy at 0 K: 3.378 eV per atom
# D(E_F): 3.980 states/eV per cell
# Polymorph energy (0 for the lowest one): 0.9555 eV per atom
# Uncorrected energy: -2.676 eV per atom
data_SrCdC3
_space_group_name_H-M_alt 'P m -3 m'
_space_group_IT_number 221
_space_group_name_Hall '-P 4 2 3'
_cell_length_a 4.6800
_cell_length_b 4.6800
_cell_length_c 4.6800
_cell_angle_alpha 90.00
_cell_angle_beta 90.00
_cell_angle_gamma 90.00
loop_
_atom_site_label
_atom_site_type_symbol
_atom_site_fract_x
_atom_site_fract_y
_atom_site_fract_z
Sr1 Sr 0.0000 0.0000 0.0000
Cd1 Cd 0.5000 0.5000 0.5000
C1 C 0.0000 0.0000 0.5000